Compound: CaHgMo2
Source: the Alexandria database
Functional: PBE-GGA
Structure: relaxed

Lattice parameters (Å, degrees): 5.668 5.668 5.668 138.65 138.65 59.92
Atoms (fractional coordinates):
Ca 0.000 0.000 0.000
Hg 0.500 0.500 0.000
Mo 0.250 0.750 0.500
Mo 0.750 0.250 0.500

The calculation puts the density of states at the Fermi level at 1.16 states/eV per atom. The formation energy is 0.669 eV/atom. Its symmetry is I4/mmm. Its total energy is -5.322 eV/atom. As for the mass density: 9.1 g cm⁻³.

***

Compound: FePdSe2Br
Source: the Alexandria database
Functional: PBE-GGA
Structure: relaxed

Lattice parameters (Å, degrees): 4.659 4.659 5.120 90.00 90.00 90.00
Atoms (fractional coordinates):
Fe 0.000 0.000 0.000
Pd 0.500 0.500 0.500
Se 0.000 0.500 0.000
Se 0.500 0.000 0.000
Br 0.000 0.000 0.500

The calculation puts the density of states at the Fermi level at 1.56 states/eV per atom. Its symmetry is P4/mmm. Its total energy is -4.007 eV/atom. As for the uncorrected formation energy: 0.45 eV/atom. The value obtained for the distance to the lowest polymorph of the same formula is 0 meV per atom. As for the mass density: 6.0 g cm⁻³.

***

Compound: Ta2HgSe
Source: the Alexandria database
Functional: PBE-GGA
Structure: relaxed

Lattice parameters (Å, degrees): 3.104 4.267 5.859 90.00 100.33 90.00
Atoms (fractional coordinates):
Ta 0.062 0.000 0.261
Ta 0.938 0.000 0.739
Hg 0.500 0.500 0.000
Se 0.000 0.500 0.500

The calculation puts the density of states at the Fermi level at 0.40 states/eV per atom. Its symmetry is P2/m. Its total energy is -6.622 eV/atom. As for the uncorrected formation energy: 0.25 eV/atom. The value obtained for the distance to the lowest polymorph of the same formula is 278 meV per atom. As for the mass density: 14.0 g cm⁻³.

***

Compound: Ca2Sn2SbRh5
Source: the Alexandria database
Functional: PBE-GGA
Structure: relaxed

Lattice parameters (Å, degrees): 10.291 10.291 3.648 90.00 90.00 90.00
Atoms (fractional coordinates):
Ca 0.170 0.330 0.000
Ca 0.330 0.830 0.000
Ca 0.670 0.170 0.000
Ca 0.830 0.670 0.000
Sn 0.129 0.629 0.000
Sn 0.371 0.129 0.000
Sn 0.629 0.871 0.000
Sn 0.871 0.371 0.000
Sb 0.000 0.000 0.000
Sb 0.500 0.500 0.000
Rh 0.000 0.500 0.500
Rh 0.065 0.804 0.500
Rh 0.196 0.065 0.500
Rh 0.304 0.565 0.500
Rh 0.435 0.304 0.500
Rh 0.500 0.000 0.500
Rh 0.565 0.696 0.500
Rh 0.696 0.435 0.500
Rh 0.804 0.935 0.500
Rh 0.935 0.196 0.500

The calculation puts the density of states at the Fermi level at 0.34 states/eV per atom. Its symmetry is P4/mbm. Its total energy is -5.791 eV/atom. As for the uncorrected formation energy: -0.50 eV/atom. As for the mass density: 8.2 g cm⁻³.

***

Compound: Pm5Ga4Pb
Source: the Alexandria database
Functional: PBE-GGA
Structure: relaxed

Lattice parameters (Å, degrees): 3.671 3.671 19.150 90.00 90.00 90.00
Atoms (fractional coordinates):
Pm 0.000 0.000 0.000
Pm 0.000 0.000 0.191
Pm 0.000 0.000 0.386
Pm 0.000 0.000 0.614
Pm 0.000 0.000 0.809
Ga 0.500 0.500 0.095
Ga 0.500 0.500 0.287
Ga 0.500 0.500 0.713
Ga 0.500 0.500 0.905
Pb 0.500 0.500 0.500

The calculation puts the density of states at the Fermi level at 0.47 states/eV per atom. The formation energy is -0.541 eV/atom. Its symmetry is P4/mmm. Its total energy is -4.498 eV/atom. As for the mass density: 7.8 g cm⁻³.

***

Compound: YH6Os
Source: the Alexandria database
Functional: PBE-GGA
Structure: relaxed

Lattice parameters (Å, degrees): 4.589 4.589 4.589 58.71 58.71 58.71
Atoms (fractional coordinates):
Y 0.000 0.000 0.000
H 0.051 0.604 0.604
H 0.396 0.396 0.949
H 0.396 0.949 0.396
H 0.604 0.051 0.604
H 0.604 0.604 0.051
H 0.949 0.396 0.396
Os 0.500 0.500 0.500

The calculation puts the density of states at the Fermi level at 0.17 states/eV per atom. Its symmetry is R-3m. Its total energy is -4.893 eV/atom. As for the mass density: 7.1 g cm⁻³.

***

Compound: Cd4Tc3
Source: the Alexandria database
Functional: PBE-GGA
Structure: relaxed

Lattice parameters (Å, degrees): 14.826 14.826 14.826 168.57 168.57 16.19
Atoms (fractional coordinates):
Cd 0.070 0.070 0.000
Cd 0.348 0.348 0.000
Cd 0.652 0.652 0.000
Cd 0.930 0.930 0.000
Tc 0.225 0.225 0.000
Tc 0.500 0.500 0.000
Tc 0.775 0.775 0.000

The calculation puts the density of states at the Fermi level at 0.62 states/eV per atom. The formation energy is 0.249 eV/atom. Its symmetry is I4/mmm. Its total energy is -4.716 eV/atom. As for the mass density: 9.7 g cm⁻³.

***

Compound: NdDy6Y2
Source: the Alexandria database
Functional: PBE-GGA
Structure: relaxed

Lattice parameters (Å, degrees): 6.036 6.036 15.263 100.65 100.65 33.31
Atoms (fractional coordinates):
Nd 0.000 0.000 0.000
Dy 0.041 0.041 0.232
Dy 0.294 0.294 0.105
Dy 0.373 0.373 0.563
Dy 0.627 0.627 0.437
Dy 0.706 0.706 0.895
Dy 0.959 0.959 0.768
Y 0.333 0.333 0.334
Y 0.667 0.667 0.666

The calculation puts the density of states at the Fermi level at 2.18 states/eV per atom. The formation energy is 0.197 eV/atom. Its symmetry is C2/m. Its total energy is -4.837 eV/atom. The value obtained for the distance to the lowest polymorph of the same formula is 0 meV per atom. As for the mass density: 7.2 g cm⁻³.

***

Compound: LaMg2Si
Source: the Alexandria database
Functional: PBE-GGA
Structure: relaxed

Lattice parameters (Å, degrees): 6.418 6.418 6.418 148.98 132.33 57.96
Atoms (fractional coordinates):
La 0.000 0.000 0.000
Mg 0.292 0.792 0.500
Mg 0.708 0.208 0.500
Si 0.500 0.500 0.000

The calculation puts the density of states at the Fermi level at 0.87 states/eV per atom. Its symmetry is Immm. Its total energy is -3.555 eV/atom. As for the uncorrected formation energy: -0.17 eV/atom. As for the mass density: 3.6 g cm⁻³.

***

Compound: P2RuSe
Source: the Alexandria database
Functional: PBE-GGA
Structure: relaxed

Lattice parameters (Å, degrees): 3.595 3.595 4.878 90.00 90.00 90.00
Atoms (fractional coordinates):
P 0.000 0.500 0.000
P 0.500 0.000 0.000
Ru 0.000 0.000 0.500
Se 0.500 0.500 0.500

The calculation puts the density of states at the Fermi level at 0.88 states/eV per atom. Its symmetry is P4/mmm. Its total energy is -5.238 eV/atom. As for the uncorrected formation energy: 0.66 eV/atom. As for the mass density: 6.4 g cm⁻³.

***

Compound: Ac3Ce2PrAs6
Source: the Alexandria database
Functional: PBE-GGA
Structure: relaxed

Lattice parameters (Å, degrees): 7.612 7.612 7.638 99.56 99.56 119.99
Atoms (fractional coordinates):
Ac 0.000 0.000 0.000
Ac 0.334 0.666 0.000
Ac 0.666 0.334 0.000
Ce 0.167 0.833 0.500
Ce 0.833 0.167 0.500
Pr 0.500 0.500 0.500
As 0.084 0.422 0.268
As 0.239 0.239 0.732
As 0.422 0.084 0.268
As 0.578 0.916 0.732
As 0.761 0.761 0.268
As 0.916 0.578 0.732

The calculation puts the density of states at the Fermi level at 0.96 states/eV per atom. The formation energy is -1.452 eV/atom. Its symmetry is C2/m. Its total energy is -6.191 eV/atom. As for the mass density: 7.1 g cm⁻³.

***

Compound: ZrNi2P
Source: the Alexandria database
Functional: PBE-GGA
Structure: relaxed

Lattice parameters (Å, degrees): 4.860 4.860 4.860 47.11 47.11 47.11
Atoms (fractional coordinates):
Zr 0.000 0.000 0.000
Ni 0.531 0.531 0.531
Ni 0.784 0.784 0.784
P 0.207 0.207 0.207

The calculation puts the density of states at the Fermi level at 0.50 states/eV per atom. The formation energy is -0.686 eV/atom. Its symmetry is R3m. Its total energy is -7.067 eV/atom. As for the mass density: 7.1 g cm⁻³.

***

Compound: LaTcOs2
Source: the Alexandria database
Functional: PBE-GGA
Structure: relaxed

Lattice parameters (Å, degrees): 4.860 4.860 3.047 90.00 90.00 90.00
Atoms (fractional coordinates):
La 0.000 0.000 0.000
Tc 0.500 0.500 0.000
Os 0.000 0.500 0.500
Os 0.500 0.000 0.500

The calculation puts the density of states at the Fermi level at 1.30 states/eV per atom. The formation energy is 0.697 eV/atom. Its symmetry is P4/mmm. Its total energy is -8.741 eV/atom. The value obtained for the distance to the lowest polymorph of the same formula is 404 meV per atom. As for the mass density: 14.2 g cm⁻³.